A plane-wave DFT calculation with PBE-GGA was carried out for a relaxed structure of CaBr3F.

Cell: 5.7039 5.7039 5.7039 Å, 90.00 90.00 90.00°
Closest atoms and distances in Å follow each position.
Element x y z (fractional)
Ca: 0.0000 0.0000 0.0000  6 Br 2.85
Br: 0.0000 0.0000 0.5000  2 Ca 2.85
Br: 0.0000 0.5000 0.0000  2 Ca 2.85
Br: 0.5000 0.0000 0.0000  2 Ca 2.85
F: 0.5000 0.5000 0.5000  12 Br 4.03

The value obtained for the theoretical density is 2.7 g/cm3. The value obtained for the energy above the lowest structure with this stoichiometry is 0 meV per atom. For the formation energy without anion corrections, the calculation gives -0.822 eV/atom. Its total magnetization is 0.42 μB/f.u.


A plane-wave DFT calculation with PBE-GGA was carried out for a relaxed structure of Ca2BrF2.

Cell: 7.4671 7.4671 7.4671 Å, 124.11 124.11 83.02°
Closest atoms and distances in Å follow each position.
Element x y z (fractional)
Ca: 0.2438 0.0000 0.2438  3 F 2.29-2.30
Ca: 0.7500 0.0062 0.2562  3 F 2.29-2.30
Ca: 0.7500 0.4938 0.7438  3 F 2.29-2.30
Ca: 0.7562 0.0000 0.7562  3 F 2.29-2.30
Br: 0.2936 0.7936 0.5000  2 Ca 2.92
Br: 0.5436 0.5436 0.0000  2 Ca 2.92
F: 0.4957 0.2028 0.2929  3 Ca 2.29-2.30
F: 0.9100 0.2028 0.7071  3 Ca 2.29-2.30
F: 0.9528 0.1600 0.2071  3 Ca 2.29-2.30
F: 0.9528 0.7457 0.7929  3 Ca 2.29-2.30

The value obtained for the theoretical density is 2.4 g/cm3. The value obtained for the energy above the lowest structure with this stoichiometry is 176 meV per atom. For the formation energy without anion corrections, the calculation gives -2.619 eV/atom. Its total magnetization is 0.86 μB/f.u.


A plane-wave DFT calculation with PBE-GGA was carried out for a relaxed structure of CaBrF2.

Cell: 4.5387 4.5387 4.5387 Å, 60.00 60.00 60.00°
Closest atoms and distances in Å follow each position.
Element x y z (fractional)
Ca: 0.0000 0.0000 0.0000  8 F 2.78
Br: 0.5000 0.5000 0.5000  8 F 2.78
F: 0.2500 0.2500 0.2500  4 Br 2.78, 4 Ca 2.78
F: 0.7500 0.7500 0.7500  4 Br 2.78, 4 Ca 2.78

The value obtained for the theoretical density is 4.0 g/cm3. The value obtained for the energy above the lowest structure with this stoichiometry is 550 meV per atom. For the formation energy without anion corrections, the calculation gives -2.100 eV/atom. Its total magnetization is 1.00 μB/f.u.


A plane-wave DFT calculation with PBE-GGA was carried out for a relaxed structure of Ca3BrF.

Cell: 5.3618 5.3618 5.3618 Å, 90.00 90.00 90.00°
Closest atoms and distances in Å follow each position.
Element x y z (fractional)
Ca: 0.0000 0.0000 0.5000  2 F 2.68
Ca: 0.0000 0.5000 0.0000  2 F 2.68
Ca: 0.5000 0.0000 0.0000  2 F 2.68
Br: 0.5000 0.5000 0.5000  12 Ca 3.79
F: 0.0000 0.0000 0.0000  6 Ca 2.68

The value obtained for the theoretical density is 2.4 g/cm3. The value obtained for the energy above the lowest structure with this stoichiometry is 0 meV per atom. For the formation energy without anion corrections, the calculation gives -1.058 eV/atom. Its total magnetization is 0.00 μB/f.u.


A plane-wave DFT calculation with PBE-GGA was carried out for a relaxed structure of CaBrF2.

Cell: 6.9427 6.9427 6.9427 Å, 123.40 123.40 84.21°
Closest atoms and distances in Å follow each position.
Element x y z (fractional)
Ca: 0.0000 0.0000 0.0000  4 F 2.15
Ca: 0.7500 0.2500 0.5000  4 F 2.15
Br: 0.2500 0.7500 0.5000  4 F 3.50
Br: 0.5000 0.5000 0.0000  4 F 3.50
F: 0.3750 0.1988 0.3238  2 Ca 2.15
F: 0.8012 0.1250 0.1762  2 Ca 2.15
F: 0.8750 0.0512 0.6762  2 Ca 2.15
F: 0.9488 0.6250 0.8238  2 Ca 2.15

The value obtained for the theoretical density is 2.4 g/cm3. The value obtained for the energy above the lowest structure with this stoichiometry is 174 meV per atom. For the formation energy without anion corrections, the calculation gives -2.476 eV/atom. Its total magnetization is 1.00 μB/f.u.


A plane-wave DFT calculation with PBE-GGA was carried out for a relaxed structure of CaBrF.

Cell: 3.9725 3.9725 4.5262 Å, 90.00 90.00 120.00°
Closest atoms and distances in Å follow each position.
Element x y z (fractional)
Ca: 0.0000 0.0000 0.0000  3 F 2.29
Br: 0.6667 0.3333 0.5000  6 Ca 3.22, 6 F 3.22
F: 0.3333 0.6667 0.0000  3 Ca 2.29

The value obtained for the theoretical density is 3.7 g/cm3. For the formation energy without anion corrections, the calculation gives -2.918 eV/atom. Its total magnetization is 0.00 μB/f.u.


A plane-wave DFT calculation with PBE-GGA was carried out for a relaxed structure of CaBrF.

Cell: 6.0471 6.0471 8.0324 Å, 90.00 90.00 71.59°
Closest atoms and distances in Å follow each position.
Element x y z (fractional)
Ca: 0.2070 0.7930 0.8764  3 F 2.24-2.28
Ca: 0.2930 0.7070 0.3764  3 F 2.24-2.28
Ca: 0.7070 0.2930 0.6236  3 F 2.24-2.28
Ca: 0.7930 0.2070 0.1236  3 F 2.24-2.28
Br: 0.1914 0.1914 0.5000  2 Ca 2.97
Br: 0.3086 0.3086 0.0000  2 Ca 2.97
Br: 0.6914 0.6914 0.0000  2 Ca 2.97
Br: 0.8086 0.8086 0.5000  2 Ca 2.97
F: 0.1125 0.8875 0.1473  3 Ca 2.24-2.28
F: 0.3875 0.6125 0.6473  3 Ca 2.24-2.28
F: 0.6125 0.3875 0.3527  3 Ca 2.24-2.28
F: 0.8875 0.1125 0.8527  3 Ca 2.24-2.28

The value obtained for the theoretical density is 3.3 g/cm3. For the formation energy without anion corrections, the calculation gives -2.920 eV/atom. Its total magnetization is 0.00 μB/f.u.


A plane-wave DFT calculation with PBE-GGA was carried out for a relaxed structure of CaGaBrF4.

Cell: 6.4805 6.4805 7.5955 Å, 107.16 107.16 70.49°
Closest atoms and distances in Å follow each position.
Element x y z (fractional)
Ca: 0.2079 0.2079 0.1633  4 F 2.30-2.37
Ca: 0.7921 0.7921 0.8367  4 F 2.30-2.37
Ga: 0.3851 0.3851 0.7364  4 F 1.80-1.81
Ga: 0.6149 0.6149 0.2636  4 F 1.80-1.81
Br: 0.0409 0.0409 0.7693  2 Ca 2.86-2.87
Br: 0.9591 0.9591 0.2307  2 Ca 2.86-2.87
F: 0.1235 0.5193 0.8113  1 Ga 1.80
F: 0.3315 0.3315 0.4831  1 Ga 1.80
F: 0.4315 0.4315 0.1621  1 Ga 1.81
F: 0.4807 0.8765 0.1887  1 Ga 1.80
F: 0.5193 0.1235 0.8113  1 Ga 1.80
F: 0.5685 0.5685 0.8379  1 Ga 1.81
F: 0.6685 0.6685 0.5169  1 Ga 1.80
F: 0.8765 0.4807 0.1887  1 Ga 1.80

The value obtained for the theoretical density is 3.1 g/cm3. For the formation energy without anion corrections, the calculation gives -2.723 eV/atom. Its total magnetization is 0.00 μB/f.u.


A plane-wave DFT calculation with PBE-GGA was carried out for a relaxed structure of CaGeBrF2.

Cell: 4.3264 4.3264 6.3316 Å, 90.00 90.00 90.00°
Closest atoms and distances in Å follow each position.
Element x y z (fractional)
Ca: 0.0000 0.0000 0.0000  4 Br 3.06
Ge: 0.5000 0.5000 0.5000  4 F 2.16
Br: 0.5000 0.5000 0.0000  4 Ca 3.06, 2 Ge 3.17
F: 0.0000 0.5000 0.5000  2 Ge 2.16
F: 0.5000 0.0000 0.5000  2 Ge 2.16

The value obtained for the theoretical density is 3.2 g/cm3. For the formation energy without anion corrections, the calculation gives -1.564 eV/atom. Its total magnetization is 0.00 μB/f.u.


A plane-wave DFT calculation with PBE-GGA was carried out for a relaxed structure of Li2CaHBrF.

Cell: 3.6662 3.8712 9.3938 Å, 79.65 79.86 62.29°
Closest atoms and distances in Å follow each position.
Element x y z (fractional)
Li: 0.0000 0.0000 0.0000  1 F 1.83, 1 H 1.91
Li: 0.4098 0.9411 0.2658  2 F 1.93
Ca: 0.7622 0.7185 0.7208  3 H 2.28-2.33
H: 0.0686 0.0452 0.7920  1 Li 1.91
Br: 0.4959 0.4394 0.5075  1 Li 2.67, 3 Ca 2.93-2.98
F: 0.9347 0.9504 0.1992  3 Li 1.83-1.93

The value obtained for the theoretical density is 2.2 g/cm3. The value obtained for the energy above the lowest structure with this stoichiometry is 10 meV per atom. Its total magnetization is 1.00 μB/f.u.


A plane-wave DFT calculation with PBE-GGA was carried out for a relaxed structure of Li2CaHBrF.

Cell: 5.8488 5.8488 5.7178 Å, 107.14 107.14 37.77°
Closest atoms and distances in Å follow each position.
Element x y z (fractional)
Li: 0.0000 0.0000 0.0000  1 H 1.93, 1 F 1.98
Li: 0.6964 0.6964 0.8516  1 F 1.99, 2 H 2.03
Ca: 0.3203 0.3203 0.3223  2 F 2.27, 1 H 2.30
H: 0.1638 0.1638 0.9475  3 Li 1.93-2.03
Br: 0.6097 0.6097 0.3685  3 Li 2.63-2.81
F: 0.8557 0.8557 0.1355  2 Li 1.98-1.99

The value obtained for the theoretical density is 2.2 g/cm3. The value obtained for the energy above the lowest structure with this stoichiometry is 1 meV per atom. Its total magnetization is 0.30 μB/f.u.